Record 1
A plane-wave DFT calculation with PBE was carried out for an optimized crystal structure of La2TlCu3.

**Space group**: Fmmm, No. 69

The structure in POSCAR format:
```
La2TlCu3
1.0
-4.200 4.192 -0.625
-0.724 -2.995 -5.110
-2.844 -5.384 6.424
Tl Cu La
2 6 4
Cartesian
-3.562 -3.212 2.388 Tl
-4.206 -0.975 -1.698 Tl
-3.561 -5.894 1.827 Cu
-2.401 -2.028 -3.468 Cu
-6.055 -2.642 -0.459 Cu
-1.713 -1.545 1.148 Cu
-5.367 -2.159 4.158 Cu
-4.207 1.707 -1.137 Cu
-3.015 -3.890 -0.776 La
-1.159 0.282 -1.350 La
-3.765 0.915 -4.384 La
-4.753 -0.297 1.466 La
```

---

Record 2
A plane-wave DFT calculation with PBE was carried out for an optimized crystal structure of La7Tl2Cu2.

**Space group**: Cmmm, No. 65

The structure in POSCAR format:
```
La7Tl2Cu2
1.0
-5.723 -1.182 4.246
4.462 -1.358 5.637
1.800 6.991 0.259
Cu La Tl
2 7 2
Cartesian
0.871 -0.225 8.753 Cu
-0.331 4.676 1.389 Cu
0.000 0.000 0.000 La
-0.957 2.601 3.518 La
1.497 1.850 6.624 La
-3.632 1.954 5.877 La
-1.670 -0.951 3.624 La
2.210 5.402 6.518 La
4.171 2.497 4.265 La
-0.997 4.101 6.526 Tl
1.537 0.350 3.616 Tl
```

---

Record 3
A plane-wave DFT calculation with PBE was carried out for an optimized crystal structure of LaTl2Cu2.

**Polymorph energy (0 for the lowest one)**: 0.0 meV/atom
**Space group**: I4/mmm, No. 139

The structure in POSCAR format:
```
LaTl2Cu2
1.0
-4.002 0.052 -1.919
-1.814 -1.555 3.741
-3.732 4.697 2.776
La Tl Cu
1 2 2
Cartesian
0.000 0.000 0.000 La
-5.321 1.999 0.884 Tl
-4.227 1.195 3.714 Tl
-3.076 0.358 1.291 Cu
-6.472 2.835 3.307 Cu
```

---

Record 4
A plane-wave DFT calculation with PBE was carried out for an optimized crystal structure of LaTlCu3.

**Polymorph energy (0 for the lowest one)**: 0.0 meV/atom
**Space group**: Pm-3m, No. 221

The structure in POSCAR format:
```
LaTlCu3
1.0
4.900 0.000 0.000
0.000 4.900 0.000
0.000 0.000 4.900
Cu La Tl
3 1 1
Cartesian
0.000 2.450 0.000 Cu
0.000 0.000 2.450 Cu
2.450 0.000 0.000 Cu
2.450 2.450 2.450 La
0.000 0.000 0.000 Tl
```

---

Record 5
A plane-wave DFT calculation with PBE was carried out for an optimized crystal structure of La5Tl4Cu.

**Space group**: P4/mmm, No. 123

The structure in POSCAR format:
```
La5Tl4Cu
1.0
-3.654 0.888 0.260
-0.802 -2.509 -2.697
-2.602 -15.018 14.744
La Tl Cu
5 4 1
Cartesian
-4.073 -11.460 9.237 La
-3.529 -8.319 6.153 La
-2.439 -2.025 -0.026 La
-4.620 -14.614 12.333 La
-2.985 -5.178 3.070 La
-1.574 -9.087 8.921 Tl
-2.120 -12.235 12.011 Tl
-0.482 -2.783 2.732 Tl
-1.027 -5.931 5.823 Tl
0.000 0.000 0.000 Cu
```

---

Record 6
A plane-wave DFT calculation with PBE was carried out for an optimized crystal structure of LaTl2Cu.

**Polymorph energy (0 for the lowest one)**: 80.1 meV/atom
**Space group**: Pm, No. 6

The structure in POSCAR format:
```
LaTl2Cu
1.0
-1.207 4.145 -1.263
-1.395 -1.380 -3.196
-6.319 -1.466 1.226
Cu Tl La
1 2 1
Cartesian
-3.728 -1.181 -0.313 Cu
-2.810 1.100 -1.714 Tl
-0.184 -0.101 -0.154 Tl
-6.055 0.057 -2.038 La
```

---

Record 7
A plane-wave DFT calculation with PBE was carried out for an optimized crystal structure of La3TlCu.

**Polymorph energy (0 for the lowest one)**: 0.0 meV/atom
**Space group**: P1, No. 1

The structure in POSCAR format:
```
La3TlCu
1.0
4.900 -0.001 -1.471
-0.120 7.047 -0.375
-0.066 -0.078 8.669
La Tl Cu
6 2 2
Cartesian
3.074 2.153 1.660 La
3.820 4.295 4.133 La
4.874 0.135 -1.276 La
0.166 3.933 0.864 La
1.892 1.835 6.583 La
1.033 6.736 3.748 La
2.913 5.822 1.114 Tl
1.941 5.214 6.770 Tl
1.052 2.719 3.844 Cu
3.910 1.258 4.398 Cu
```

---

Record 8
A plane-wave DFT calculation with PBE was carried out for an optimized crystal structure of LaTlCu.

**Space group**: C2/m, No. 12

The structure in POSCAR format:
```
LaTlCu
1.0
0.030 2.436 -3.830
-3.770 -0.890 -0.595
-0.507 5.039 8.578
Tl Cu La
2 2 2
Cartesian
-1.381 4.742 1.656 Tl
-2.866 1.842 2.496 Tl
-2.040 1.910 -2.835 Cu
-2.207 4.675 6.988 Cu
-0.439 1.935 -0.113 La
-3.808 4.650 4.265 La
```

---

Record 9
A plane-wave DFT calculation with PBE was carried out for an optimized crystal structure of La4TlCu.

**Polymorph energy (0 for the lowest one)**: 0.0 meV/atom
**Space group**: P2_1/m, No. 11

The structure in POSCAR format:
```
La4TlCu
1.0
5.211 0.000 -2.234
0.000 7.356 0.000
-0.214 0.000 9.746
La Tl Cu
8 2 2
Cartesian
0.369 3.840 7.220 La
1.937 5.517 4.364 La
3.283 1.839 7.014 La
1.715 5.517 0.499 La
4.629 3.516 0.293 La
0.369 7.194 7.220 La
4.629 0.162 0.293 La
3.061 1.839 3.148 La
3.421 5.517 7.341 Tl
1.577 1.839 0.172 Tl
4.152 5.517 2.570 Cu
0.845 1.839 4.942 Cu
```

---

Record 10
A plane-wave DFT calculation with PBE was carried out for an optimized crystal structure of La6TlCu2.

**Space group**: Immm, No. 71

The structure in POSCAR format:
```
La6TlCu2
1.0
-3.747 0.154 -8.208
8.802 -1.930 0.488
-3.630 -6.669 4.877
La Cu Tl
12 4 2
Cartesian
5.040 -6.373 1.301 La
3.194 -3.303 -0.614 La
1.348 -6.668 0.080 La
2.549 -7.931 3.494 La
-1.124 -0.514 -6.337 La
-3.616 -2.073 -4.144 La
0.077 -1.777 -2.923 La
-0.278 -3.230 0.561 La
-1.769 -5.142 -2.229 La
2.142 -2.503 -6.077 La
1.703 -5.215 -3.404 La
-0.717 -5.942 3.234 La
-2.654 -2.344 -1.198 Cu
-1.695 -6.572 0.402 Cu
3.120 -1.873 -3.245 Cu
-4.723 -4.171 -2.133 Cu
2.586 -4.300 2.683 Tl
0.000 0.000 0.000 Tl
```

---

Record 11
A plane-wave DFT calculation with PBE was carried out for an optimized crystal structure of LaTl2Cu.

**Polymorph energy (0 for the lowest one)**: 89.4 meV/atom
**Space group**: P4mm, No. 99

The structure in POSCAR format:
```
LaTl2Cu
1.0
3.638 0.000 0.000
0.000 3.638 0.000
0.000 0.000 7.908
La Cu Tl
1 1 2
Cartesian
1.819 1.819 5.642 La
0.000 0.000 3.860 Cu
0.000 0.000 0.084 Tl
1.819 1.819 2.277 Tl
```

---

Record 12
A plane-wave DFT calculation with PBE was carried out for an optimized crystal structure of LaTl2Cu2.

**Polymorph energy (0 for the lowest one)**: 252.6 meV/atom
**Space group**: P4/mbm, No. 127

The structure in POSCAR format:
```
LaTl2Cu2
1.0
-3.460 4.706 6.055
-1.820 -6.957 4.367
2.854 0.186 1.486
Cu Tl La
4 4 2
Cartesian
-0.345 -3.753 4.629 Cu
-0.035 0.541 3.495 Cu
-2.390 -2.605 8.413 Cu
-2.080 1.689 7.279 Cu
-1.129 -1.921 2.409 Tl
-2.844 -4.303 6.003 Tl
-2.435 2.052 4.419 Tl
-4.150 -0.330 8.013 Tl
-2.640 -1.125 5.211 La
0.000 0.000 0.000 La
```

---

Number 1: energy of formation from the pure elements -0.189 eV per atom. Number 2: energy of formation from the pure elements -0.072 eV per atom. Number 3: energy of formation from the pure elements -0.111 eV per atom. Number 4: energy of formation from the pure elements 0.368 eV per atom. Number 5: energy of formation from the pure elements -0.373 eV per atom. Number 6: energy of formation from the pure elements -0.071 eV per atom. Number 7: energy of formation from the pure elements -0.208 eV per atom. Number 8: energy of formation from the pure elements -0.247 eV per atom. Number 9: energy of formation from the pure elements -0.176 eV per atom. Number 10: energy of formation from the pure elements -0.154 eV per atom. Number 11: energy of formation from the pure elements -0.062 eV per atom. Number 12: energy of formation from the pure elements 0.141 eV per atom.